#w
The following is a PBE-GGA calculation of a relaxed structure of GdCdAu2, from OQMD via LeMat-Bulk.

For the magnetization, the calculation gives 0.0 μB/f.u. The value obtained for the calculated volume is 22.85 Å³/atom.

It has space group Amm2 (No. 38), with a = 4.514 Å, b = 6.950 Å, c = 11.652 Å, α = 90.00°, β = 90.00° and γ = 90.00°. The asymmetric unit holds Gd at (0.000, 0.244, 0.000), Cd at (0.000, 0.000, 0.254), Cd at (0.500, 0.000, 0.633), Au at (0.000, 0.000, 0.780), Au at (0.500, 0.000, 0.098) and Au at (0.500, 0.231, 0.330).

=====

#x
The following is a PBE-GGA calculation of a relaxed structure of GdCdAu2, from OQMD via LeMat-Bulk.

For the magnetization, the calculation gives 0.0 μB/f.u. The value obtained for the calculated volume is 21.70 Å³/atom.

It has space group Cmcm (No. 63), with a = 6.648 Å, b = 10.603 Å, c = 4.925 Å, α = 90.00°, β = 90.00° and γ = 90.00°. The asymmetric unit holds Gd at (0.000, 0.147, 0.250), Cd at (0.000, 0.354, 0.750) and Au at (0.241, 0.406, 0.250).

=====

#y
The following is a PBE-GGA calculation of a relaxed structure of GdCdAu2, from OQMD via LeMat-Bulk.

For the magnetization, the calculation gives 0.0 μB/f.u. The value obtained for the calculated volume is 21.53 Å³/atom.

It has space group Ama2 (No. 40), with a = 4.967 Å, b = 11.313 Å, c = 6.130 Å, α = 90.00°, β = 90.00° and γ = 90.00°. The asymmetric unit holds Gd at (0.250, 0.175, 0.000), Cd at (0.250, 0.429, 0.788), Au at (0.250, 0.164, 0.504) and Au at (0.250, 0.421, 0.274).

=====

Pick #x: it beats the second-best structure by 3.7 kJ/mol of atoms.

=====

#w
The following is a PBE-GGA calculation of a relaxed structure of RbCdGeAu, from OQMD via LeMat-Bulk.

The value obtained for the calculated volume is 24.64 Å³/atom.

It has space group F-43m (No. 216), with a = 7.332 Å, b = 7.332 Å, c = 7.332 Å, α = 90.00°, β = 90.00° and γ = 90.00°. The asymmetric unit holds Rb at (0.000, 0.000, 0.000), Cd at (0.250, 0.250, 0.750), Ge at (0.250, 0.250, 0.250) and Au at (0.000, 0.000, 0.500).

=====

#x
The following is a PBE-GGA calculation of a relaxed structure of RbCdGeAu, from OQMD via LeMat-Bulk.

The value obtained for the calculated volume is 25.90 Å³/atom.

It has space group F-43m (No. 216), with a = 7.456 Å, b = 7.456 Å, c = 7.456 Å, α = 90.00°, β = 90.00° and γ = 90.00°. The asymmetric unit holds Rb at (0.000, 0.000, 0.000), Cd at (0.000, 0.000, 0.500), Ge at (0.250, 0.250, 0.250) and Au at (0.250, 0.250, 0.750).

=====

Pick #w: it beats the second-best structure by 1.1 kJ/mol of atoms.